20
Lattice="-1.752 5.386 -1.710 0.569 -2.094 -7.180 -7.094 -1.779 1.665" Properties=species:S:1:pos:R:3 comment="GGA+U Pr3WO6, relaxed" mass_density_g_cm3=7.2 sg="Cmc2_1, No. 36" total_energy_ha_per_atom=-0.29122 pbc="T T T"
Pr -5.262 -0.633 -6.151
O -4.435 -0.170 -0.150
O -3.678 1.178 -6.915
O -4.523 -1.490 -4.105
O -6.448 -1.366 -1.852
Pr -3.774 4.477 -1.815
W -1.759 0.554 -6.287
O -1.345 -1.176 -5.561
W -7.326 3.440 -1.727
O -3.572 2.438 -2.941
Pr -4.098 2.984 -5.226
O -0.999 1.655 -7.959
O -7.081 -0.752 0.927
Pr -1.301 1.718 -2.803
Pr -7.735 2.125 -5.162
O -6.610 1.697 -1.350
Pr -4.774 0.354 -2.579
O -2.458 -0.265 -2.360
O -1.665 2.373 -5.214
O -5.636 1.213 -4.686